1.
An optimized crystal structure of YZnRe2. Source: OQMD via LeMat-Bulk, functional GGA-PBE.

```
YZnRe2
1.0
-3.149 -3.180 1.009
-4.142 1.271 1.508
-3.679 -0.519 -2.691
Re Y Zn
2 1 1
Cartesian
0.000 0.000 0.000
-2.743 -0.607 -0.044
-8.228 -1.821 -0.131
-5.485 -1.214 -0.087
```

Properties
The space-group type is F-43m, No. 216. The value obtained for the total moment is 0.004 μB per atom. As for the calculated volume: 68 Å³/cell. The calculation puts the formation energy at 1.06 eV per formula unit.

***

2.
An optimized crystal structure of YAgSb2. Source: OQMD via LeMat-Bulk, functional GGA-PBE.

```
YAgSb2
1.0
-0.066 4.212 1.023
-3.838 -0.532 1.945
4.852 -2.110 9.000
Ag Sb Y
2 4 2
Cartesian
2.426 -1.055 4.500
0.474 0.786 5.984
0.000 0.000 0.000
-1.952 1.840 1.484
-0.393 -0.929 3.803
3.293 0.660 6.681
1.110 1.609 2.632
1.790 -1.878 7.852
```

Properties
The space-group type is P4/nmm, No. 129. The value obtained for the total moment is 0.000 μB per atom. As for the calculated volume: 196 Å³/cell. The calculation puts the total energy at -5.01 eV/atom.

***

3.
An optimized crystal structure of TbDy2Co2B2C3. Source: OQMD via LeMat-Bulk, functional GGA-PBE.

```
TbDy2Co2B2C3
1.0
4.599 -3.871 8.707
0.565 -6.796 8.090
-1.226 3.763 -9.813
B C Co Dy Tb
2 3 2 2 1
Cartesian
1.005 -2.077 3.271
4.158 -8.589 13.527
0.628 -1.298 2.044
2.582 -5.333 8.399
4.535 -9.368 14.753
2.977 -2.721 3.647
0.960 -4.183 3.338
1.938 -4.003 6.303
3.226 -6.664 10.494
0.000 0.000 0.000
```

Properties
The space-group type is I4/mmm, No. 139. The value obtained for the total moment is 0.135 μB per atom. As for the calculated volume: 130 Å³/cell. The calculation puts the total energy at -7.22 eV/atom.